(1)
This record from Alexandria describes a geometry-optimized PmDyTlOs structure. The functional is PBE-GGA.

abc: 5.1327 5.1327 5.1327
angles: 60.00 60.00 60.00
Last column: nearest neighbours and their distance in Å.
Fractional coordinates of all 4 atoms:
Pm 0.7500 0.7500 0.7500  4 Tl 3.14, 4 Os 3.14
Tl 0.0000 0.0000 0.0000  4 Pm 3.14, 4 Dy 3.14
Dy 0.2500 0.2500 0.2500  4 Tl 3.14, 4 Os 3.14
Os 0.5000 0.5000 0.5000  4 Dy 3.14, 4 Pm 3.14

Values from the calculation:
E_form, eV per atom: -0.096


(2)
This record from Alexandria describes a geometry-optimized SrLa2Cd structure. The functional is PBE-GGA.

abc: 12.0019 12.0019 12.0019
angles: 18.56 18.56 18.56
Last column: nearest neighbours and their distance in Å.
Fractional coordinates of all 4 atoms:
La 0.4874 0.4874 0.4874  3 Cd 3.36
La 0.0126 0.0126 0.0126  3 Cd 3.36
Cd 0.7500 0.7500 0.7500  6 La 3.36
Sr 0.2500 0.2500 0.2500  6 Sr 3.87, 6 La 4.06

Values from the calculation:
E_form, eV per atom: 0.011


(3)
This record from Alexandria describes a geometry-optimized Hg2WSe structure. The functional is PBE-GGA.

abc: 7.6286 7.6286 4.1838
angles: 74.09 74.09 22.38
Last column: nearest neighbours and their distance in Å.
Fractional coordinates of all 4 atoms:
Hg 0.5657 0.5657 0.4343  6 Hg 2.96-3.18, 2 W 3.03
Hg 0.9343 0.9343 0.0657  6 Hg 2.96-3.18, 2 W 3.03
W 0.2500 0.2500 0.2500  4 Se 2.56
Se 0.7500 0.7500 0.7500  4 W 2.56

Values from the calculation:
E_form (uncorrected), eV per atom: 0.50


(4)
This record from Alexandria describes a geometry-optimized MgCu6 structure. The functional is PBE-GGA.

abc: 5.5585 5.5585 5.5585
angles: 109.47 109.47 109.47
Last column: nearest neighbours and their distance in Å.
Fractional coordinates of all 7 atoms:
Cu 0.2500 0.7500 0.5000  4 Cu 2.27
Cu 0.2500 0.5000 0.7500  4 Cu 2.27
Cu 0.7500 0.2500 0.5000  4 Cu 2.27
Cu 0.5000 0.7500 0.2500  4 Cu 2.27
Cu 0.7500 0.5000 0.2500  4 Cu 2.27
Cu 0.5000 0.2500 0.7500  4 Cu 2.27
Mg 0.0000 0.0000 0.0000  24 Cu 3.59

Values from the calculation:
E_form, eV per atom: 0.693
Energy relative to the lowest polymorph listed for this composition, meV per atom: 674.7


(5)
This record from Alexandria describes a geometry-optimized Y6Mg5Hg structure. The functional is PBE-GGA.

abc: 5.3608 7.5293 8.4960
angles: 90.00 71.61 90.00
Last column: nearest neighbours and their distance in Å.
Fractional coordinates of all 12 atoms:
Y 0.5000 0.7533 0.0000  2 Hg 3.26, 6 Mg 3.29-3.34
Y 0.8353 0.2498 0.3293  7 Mg 3.23-3.29, 1 Hg 3.25
Y 0.8353 0.7502 0.3293  7 Mg 3.23-3.29, 1 Hg 3.25
Y 0.1647 0.2498 0.6707  7 Mg 3.23-3.29, 1 Hg 3.25
Y 0.5000 0.2467 0.0000  2 Hg 3.26, 6 Mg 3.29-3.34
Y 0.1647 0.7502 0.6707  7 Mg 3.23-3.29, 1 Hg 3.25
Mg 0.3321 0.5000 0.3358  8 Y 3.28-3.31
Mg 0.3276 0.0000 0.3447  8 Y 3.23-3.34
Mg 0.6724 0.0000 0.6553  8 Y 3.23-3.34
Mg 0.0000 0.5000 0.0000  8 Y 3.26-3.29
Mg 0.6679 0.5000 0.6642  8 Y 3.28-3.31
Hg 0.0000 0.0000 0.0000  8 Y 3.25-3.26

Values from the calculation:
E_form, eV per atom: -0.176


(6)
This record from Alexandria describes a geometry-optimized Y2Te2F structure. The functional is PBE-GGA.

abc: 8.3759 8.3759 3.8409
angles: 90.00 90.00 90.00
Last column: nearest neighbours and their distance in Å.
Fractional coordinates of all 10 atoms:
Y 0.6518 0.8482 0.5000  6 Te 3.07-3.15
Y 0.8482 0.3482 0.5000  6 Te 3.07-3.15
Y 0.3482 0.1518 0.5000  6 Te 3.07-3.15
Y 0.1518 0.6518 0.5000  6 Te 3.07-3.15
F 0.5000 0.5000 0.0000  4 Te 3.21
F 0.0000 0.0000 0.0000  4 Te 3.21
Te 0.3535 0.8535 0.0000  6 Y 3.07-3.15, 2 F 3.21
Te 0.8535 0.6465 0.0000  6 Y 3.07-3.15, 2 F 3.21
Te 0.1465 0.3535 0.0000  6 Y 3.07-3.15, 2 F 3.21
Te 0.6465 0.1465 0.0000  6 Y 3.07-3.15, 2 F 3.21

Values from the calculation:
E_form (uncorrected), eV per atom: -1.46
Energy relative to the lowest polymorph listed for this composition, meV per atom: 441.3


(7)
This record from Alexandria describes a geometry-optimized Ac5Pd4 structure. The functional is PBE-GGA.

abc: 6.2152 7.6461 7.6461
angles: 80.49 66.02 66.02
Last column: nearest neighbours and their distance in Å.
Fractional coordinates of all 9 atoms:
Ac 0.3085 0.7935 0.5895  5 Pd 3.07-3.15
Ac 0.1020 0.5895 0.2065  5 Pd 3.07-3.15
Ac 0.5000 0.0000 0.0000  4 Pd 3.10
Ac 0.6915 0.2065 0.4105  5 Pd 3.07-3.15
Ac 0.8980 0.4105 0.7935  5 Pd 3.07-3.15
Pd 0.7966 0.8053 0.6016  6 Ac 3.07-3.15
Pd 0.3981 0.3984 0.8053  6 Ac 3.07-3.15
Pd 0.6019 0.6016 0.1947  6 Ac 3.07-3.15
Pd 0.2034 0.1947 0.3984  6 Ac 3.07-3.15

Values from the calculation:
E_form, eV per atom: -0.697


(8)
This record from Alexandria describes a geometry-optimized Cs5B2Se5 structure. The functional is PBE-GGA.

abc: 4.5820 8.6382 11.6396
angles: 68.96 90.00 105.38
Last column: nearest neighbours and their distance in Å.
Fractional coordinates of all 12 atoms:
Se 0.4176 0.8353 0.2648  2 B 2.55
Se 0.0953 0.1906 0.2399  1 B 2.01
Se 0.5824 0.1647 0.7352  2 B 2.55
Se 0.9047 0.8094 0.7601  1 B 2.01
Se 0.0000 0.0000 0.0000  2 B 2.29
Cs 0.3521 0.7042 0.0028  5 Se 3.36-3.60, 2 B 3.66
Cs 0.2492 0.4983 0.6750  4 Se 3.47-3.85, 1 B 3.65
Cs 0.6479 0.2958 0.9972  5 Se 3.36-3.60, 2 B 3.66
Cs 0.5000 0.0000 0.5000  6 Se 3.49-3.65, 2 Cs 3.91
Cs 0.7508 0.5017 0.3250  4 Se 3.47-3.85, 1 B 3.65
B 0.0129 0.0257 0.7976  1 Se 2.01
B 0.9871 0.9743 0.2024  1 Se 2.01

Values from the calculation:
E_form (uncorrected), eV per atom: -0.45


(9)
This record from Alexandria describes a geometry-optimized Zn3WN4 structure. The functional is PBE-GGA.

abc: 4.6702 4.6702 5.6717
angles: 114.31 114.31 90.00
Last column: nearest neighbours and their distance in Å.
Fractional coordinates of all 8 atoms:
N 0.3522 0.3522 0.2370  1 W 1.89, 3 Zn 2.05-2.07
N 0.8848 0.8848 0.2370  1 W 1.89, 3 Zn 2.05-2.07
N 0.1152 0.6478 0.7630  1 W 1.89, 3 Zn 2.05-2.07
N 0.6478 0.1152 0.7630  1 W 1.89, 3 Zn 2.05-2.07
Zn 0.7500 0.2500 0.5000  4 N 2.05
Zn 0.5000 0.5000 0.0000  4 N 2.07
Zn 0.2500 0.7500 0.5000  4 N 2.05
W 0.0000 0.0000 0.0000  4 N 1.89

Values from the calculation:
E_form (uncorrected), eV per atom: -0.24
Energy relative to the lowest polymorph listed for this composition, meV per atom: 10.5


(10)
This record from Alexandria describes a geometry-optimized NdThS2N structure. The functional is PBE-GGA.

abc: 4.0212 4.0212 14.3463
angles: 90.00 90.00 90.00
Last column: nearest neighbours and their distance in Å.
Fractional coordinates of all 10 atoms:
S 0.0000 0.5000 0.6937  1 Nd 2.63
S 0.5000 0.0000 0.3063  1 Nd 2.63
S 0.0000 0.5000 0.0920  5 Nd 2.88-3.08
S 0.5000 0.0000 0.9080  5 Nd 2.88-3.08
N 0.5000 0.5000 0.5000  4 Th 2.35
N 0.0000 0.0000 0.5000  4 Th 2.35
Th 0.5000 0.0000 0.5843  4 N 2.35
Th 0.0000 0.5000 0.4157  4 N 2.35
Nd 0.5000 0.0000 0.1229  5 S 2.63-2.88
Nd 0.0000 0.5000 0.8771  5 S 2.63-2.88

Values from the calculation:
E_form (uncorrected), eV per atom: -1.94


(11)
This record from Alexandria describes a geometry-optimized LiVPd2I structure. The functional is PBE-GGA.

abc: 5.0577 5.0324 5.0577
angles: 90.00 90.00 90.00
Last column: nearest neighbours and their distance in Å.
Fractional coordinates of all 5 atoms:
V 0.0000 0.5000 0.0000  2 I 2.52
Li 0.5000 0.5000 0.5000  8 Pd 3.57, 4 V 3.58
I 0.0000 0.0000 0.0000  2 V 2.52, 4 Pd 2.53
Pd 0.0000 0.0000 0.5000  2 I 2.53
Pd 0.5000 0.0000 0.0000  2 I 2.53

Values from the calculation:
E_form (uncorrected), eV per atom: 0.69


(12)
This record from Alexandria describes a geometry-optimized La3Y2ScTe6 structure. The functional is PBE-GGA.

abc: 4.4086 8.9524 9.9563
angles: 103.90 102.79 90.00
Last column: nearest neighbours and their distance in Å.
Fractional coordinates of all 12 atoms:
Te 0.3299 0.4252 0.6599  3 Y 3.08, 3 La 3.20-3.21
Te 0.9983 0.7695 0.9965  2 Sc 3.01, 1 Y 3.10, 3 La 3.24-3.27
Te 0.6576 0.0896 0.3152  1 Sc 2.97, 2 Y 3.08, 3 La 3.22-3.25
Te 0.3424 0.9104 0.6848  1 Sc 2.97, 2 Y 3.08, 3 La 3.22-3.25
Te 0.6701 0.5748 0.3401  3 Y 3.08, 3 La 3.20-3.21
Te 0.0017 0.2305 0.0035  2 Sc 3.01, 1 Y 3.10, 3 La 3.24-3.27
Y 0.8335 0.6667 0.6670  6 Te 3.08-3.10
Y 0.1665 0.3333 0.3330  6 Te 3.08-3.10
La 0.5000 0.5000 0.0000  6 Te 3.20-3.27
La 0.8298 0.1639 0.6597  6 Te 3.21-3.25
La 0.1702 0.8361 0.3403  6 Te 3.21-3.25
Sc 0.5000 0.0000 0.0000  6 Te 2.97-3.01

Values from the calculation:
E_form (uncorrected), eV per atom: -1.42